Record 1
The following is a PBE-GGA calculation of a relaxed structure of DyMgCuSn, from Alexandria.

a = 4.9723 Å, b = 4.9723 Å, c = 4.9723 Å
α = 60.00°, β = 60.00°, γ = 60.00°
Closest atoms and distances in Å follow each position.
Sites, in units of the cell vectors:
Dy 0.0000 0.0000 0.0000  4 Sn 3.04, 4 Cu 3.04
Mg 0.5000 0.5000 0.5000  4 Cu 3.04, 4 Sn 3.04
Cu 0.7500 0.7500 0.7500  4 Mg 3.04, 4 Dy 3.04
Sn 0.2500 0.2500 0.2500  4 Mg 3.04, 4 Dy 3.04

Summary:
- energy of formation from the pure elements (meV per atom) = -308
- symmetry = F-43m
- final energy (Ry per atom) = -0.285



Record 2
The following is a PBE-GGA calculation of a relaxed structure of DyMgCuTe3, from Alexandria.

a = 8.2643 Å, b = 4.1006 Å, c = 9.7471 Å
α = 90.00°, β = 99.36°, γ = 90.00°
Closest atoms and distances in Å follow each position.
Sites, in units of the cell vectors:
Dy 0.1818 0.2500 0.2767  6 Te 3.09-3.15, 3 Cu 3.19-3.38
Dy 0.8182 0.7500 0.7233  6 Te 3.09-3.15, 3 Cu 3.19-3.38
Mg 0.3408 0.7500 0.8408  6 Te 2.95-3.05
Mg 0.6592 0.2500 0.1592  6 Te 2.95-3.05
Cu 0.0631 0.2500 0.5719  2 Cu 2.60, 4 Te 2.64-2.71
Cu 0.9369 0.7500 0.4281  2 Cu 2.60, 4 Te 2.64-2.71
Te 0.0826 0.2500 0.8454  1 Cu 2.64
Te 0.2605 0.7500 0.5244  3 Cu 2.69-2.71
Te 0.4008 0.7500 0.1470  3 Mg 2.95, 2 Dy 3.13
Te 0.5992 0.2500 0.8530  3 Mg 2.95, 2 Dy 3.13
Te 0.7395 0.2500 0.4756  3 Cu 2.69-2.71
Te 0.9174 0.7500 0.1546  1 Cu 2.64

Summary:
- raw formation energy (eV/atom) = -0.87
- symmetry = P2_1/m
- final energy (Ry per atom) = -0.305



Record 3
The following is a PBE-GGA calculation of a relaxed structure of DyYMgCu, from Alexandria.

a = 3.5037 Å, b = 3.5037 Å, c = 7.9574 Å
α = 90.00°, β = 90.00°, γ = 90.00°
Closest atoms and distances in Å follow each position.
Sites, in units of the cell vectors:
Dy 0.0000 0.0000 0.0000  4 Cu 2.98
Y 0.0000 0.0000 0.5762  4 Cu 3.01
Mg 0.5000 0.5000 0.2883  4 Y 3.37, 4 Dy 3.38, 4 Mg 3.50
Cu 0.5000 0.5000 0.7911  4 Dy 2.98, 4 Y 3.01

Summary:
- polymorph energy (0 for the lowest one) (kJ/mol of atoms) = 0.0
- energy of formation from the pure elements (meV per atom) = -151
- symmetry = P4mm
- final energy (Ry per atom) = -0.319



Record 4
The following is a PBE-GGA calculation of a relaxed structure of DyYMgCu, from Alexandria.

a = 5.1326 Å, b = 5.1326 Å, c = 5.1326 Å
α = 60.00°, β = 60.00°, γ = 60.00°
Closest atoms and distances in Å follow each position.
Sites, in units of the cell vectors:
Dy 0.0000 0.0000 0.0000  4 Mg 3.14, 4 Cu 3.14
Y 0.5000 0.5000 0.5000  4 Mg 3.14, 4 Cu 3.14
Mg 0.7500 0.7500 0.7500  4 Y 3.14, 4 Dy 3.14
Cu 0.2500 0.2500 0.2500  4 Y 3.14, 4 Dy 3.14

Summary:
- polymorph energy (0 for the lowest one) (kJ/mol of atoms) = 7.8
- energy of formation from the pure elements (meV per atom) = -69
- symmetry = F-43m
- final energy (Ry per atom) = -0.313